Entry 1:
# TlHg2P

TlHg2P at its PBEsol-relaxed geometry (meta-GGA SCAN, Alexandria).

* ΔE to the lowest computed polymorph: 0 meV per atom
* calculated formation energy: 0.188 eV/atom
* space group: P2/m, No. 10

POSCAR file:
```
TlHg2P
1.0
-1.2145 3.1148 2.4968
0.9412 -2.8094 3.9626
3.9564 2.5824 -1.2972
Hg P Tl
2 1 1
Cartesian
1.3534 0.1673 0.4496
3.5442 -0.3943 2.2158
1.3709 2.8486 0.5998
-0.1366 0.1527 3.2297
```

=====

Entry 2:
# CrOs2Rh

CrOs2Rh at its PBEsol-relaxed geometry (meta-GGA SCAN, Alexandria).

* ΔE to the lowest computed polymorph: 72 meV per atom
* calculated formation energy: 0.064 eV/atom
* space group: C2/m, No. 12

POSCAR file:
```
CrOs2Rh
1.0
-1.3531 1.8863 -1.3199
0.5335 -3.5283 -2.8881
-3.8716 -1.2632 2.1639
Cr Os Rh
1 2 1
Cartesian
-0.6766 0.9432 -0.6599
-3.6933 -1.3421 -0.8332
-0.9980 -1.5631 -1.2108
-1.9358 -0.6316 1.0820
```

=====

Entry 3:
# TaAsPdSe2

TaAsPdSe2 at its PBEsol-relaxed geometry (meta-GGA SCAN, Alexandria).

* ΔE to the lowest computed polymorph: 0 meV per atom
* formation energy from raw total energies: 0.896 eV per atom
* space group: P4/mmm, No. 123

POSCAR file:
```
TaAsPdSe2
1.0
4.6644 0.0000 0.0000
0.0000 4.7803 0.0000
0.0000 0.0000 4.7803
As Se Pd Ta
1 2 1 1
Cartesian
2.3322 0.0000 0.0000
0.0000 0.0000 2.3902
0.0000 2.3902 0.0000
0.0000 0.0000 0.0000
2.3322 2.3902 2.3902
```

=====

Entry 4:
# SrMgNi2

SrMgNi2 at its PBEsol-relaxed geometry (meta-GGA SCAN, Alexandria).

* calculated formation energy: 0.248 eV/atom
* space group: Cm, No. 8

POSCAR file:
```
SrMgNi2
1.0
3.0021 0.0000 0.0000
0.0000 4.8603 -0.0551
-1.5011 -1.4721 4.9001
Mg Ni Sr
1 2 1
Cartesian
0.0000 3.1868 2.6965
0.0000 4.6971 0.2333
1.5011 0.5101 2.0325
0.0000 0.8124 4.7002
```

=====

Entry 5:
# Rb3C

Rb3C at its PBEsol-relaxed geometry (meta-GGA SCAN, Alexandria).

* ΔE to the lowest computed polymorph: 0 meV per atom
* calculated formation energy: 0.995 eV/atom
* space group: Cmmm, No. 65

POSCAR file:
```
Rb3C
1.0
4.5524 0.0000 0.0000
0.0000 6.2000 0.0000
0.0000 -3.1000 7.6296
C Rb
1 3
Cartesian
0.0000 0.0000 0.0000
2.2762 3.1000 5.6313
0.0000 3.1000 0.0000
2.2762 0.0000 1.9983
```

=====

Entry 6:
# TlAsP

TlAsP at its PBEsol-relaxed geometry (meta-GGA SCAN, Alexandria).

* ΔE to the lowest computed polymorph: 0 meV per atom
* calculated formation energy: 0.067 eV/atom
* space group: P3m1, No. 156

POSCAR file:
```
TlAsP
1.0
-2.2719 -0.4027 2.5197
-0.1786 -1.9626 -2.7909
4.0546 -4.5367 2.9308
P Tl As
1 1 1
Cartesian
1.3738 -4.2210 2.8804
0.5232 -3.0085 -0.0091
3.7618 -4.2091 2.7192
```

=====

Entry 7:
# Sr2AgH2

Sr2AgH2 at its PBEsol-relaxed geometry (meta-GGA SCAN, Alexandria).

* space group: I4/mmm, No. 139
* calculated total energy: -85.14 eV/f.u.

POSCAR file:
```
Sr2AgH2
1.0
-1.5717 3.4301 -1.1906
-2.3078 -1.9453 -2.5580
-2.8027 -1.2867 6.5667
Sr Ag H
2 1 2
Cartesian
-3.3567 -0.3852 3.3213
-3.3255 0.5834 -0.5032
0.0000 0.0000 0.0000
-3.5251 -1.2448 1.0672
-3.1571 1.4429 1.7509
```

=====

Entry 8:
# NaCCl3

NaCCl3 at its PBEsol-relaxed geometry (meta-GGA SCAN, Alexandria).

* formation energy from raw total energies: 1.092 eV per atom
* space group: Pm-3m, No. 221

POSCAR file:
```
NaCCl3
1.0
5.0300 0.0000 0.0000
0.0000 5.0300 0.0000
0.0000 0.0000 5.0300
Na C Cl
1 1 3
Cartesian
0.0000 0.0000 0.0000
2.5150 2.5150 2.5150
0.0000 2.5150 0.0000
0.0000 0.0000 2.5150
2.5150 0.0000 0.0000
```

=====

Entry 9:
# ZnCdCo

ZnCdCo at its PBEsol-relaxed geometry (meta-GGA SCAN, Alexandria).

* ΔE to the lowest computed polymorph: 0 meV per atom
* calculated formation energy: 0.217 eV/atom
* space group: P3m1, No. 156

POSCAR file:
```
ZnCdCo
1.0
-1.2242 0.5252 2.3726
1.7665 -3.4967 1.6854
2.0389 3.7390 0.2245
Cd Co Zn
1 1 1
Cartesian
-0.0118 0.0051 0.0228
1.1972 -0.8016 2.4777
1.3958 1.5641 1.7819
```

=====

Entry 10:
# CaSb

CaSb at its PBEsol-relaxed geometry (meta-GGA SCAN, Alexandria).

* formation energy from raw total energies: -0.832 eV per atom
* space group: R-3m, No. 166

POSCAR file:
```
CaSb
1.0
-1.9588 1.3851 -3.0280
-3.0330 -2.3715 0.3171
-2.2454 2.4242 2.0013
Sb Ca
1 1
Cartesian
-3.6186 0.7189 -0.3548
0.0000 0.0000 0.0000
```

=====

Entry 11:
# KSrAs2

KSrAs2 at its PBEsol-relaxed geometry (meta-GGA SCAN, Alexandria).

* ΔE to the lowest computed polymorph: 488 meV per atom
* calculated formation energy: -0.337 eV/atom
* space group: R-3m, No. 166

POSCAR file:
```
KSrAs2
1.0
-3.2417 -0.5193 1.8113
-0.4030 -2.9146 2.3242
1.9959 4.2201 8.6629
As K Sr
2 1 1
Cartesian
-0.4522 0.1296 3.1087
-1.1965 0.6566 9.6897
-0.8244 0.3931 6.3992
0.0000 0.0000 0.0000
```

=====

Entry 12:
# TePt2Rh

TePt2Rh at its PBEsol-relaxed geometry (meta-GGA SCAN, Alexandria).

* ΔE to the lowest computed polymorph: 34 meV per atom
* formation energy from raw total energies: 0.057 eV per atom
* space group: P4mm, No. 99

POSCAR file:
```
TePt2Rh
1.0
3.4223 0.0000 0.0000
0.0000 3.4223 0.0000
0.0000 0.0000 5.6284
Pt Rh Te
2 1 1
Cartesian
0.0000 0.0000 0.1178
1.7112 1.7112 1.3927
0.0000 0.0000 2.8193
1.7112 1.7112 4.1127
```

=====

Entry 13:
# Rb2PdO

Rb2PdO at its PBEsol-relaxed geometry (meta-GGA SCAN, Alexandria).

* formation energy from raw total energies: -0.671 eV per atom
* space group: I-42d, No. 122

POSCAR file:
```
Rb2PdO
1.0
3.9606 0.0000 0.0000
1.9803 8.0592 0.0000
1.9803 0.0000 8.0592
O Rb Pd
2 4 2
Cartesian
2.9705 4.0296 4.0296
1.9803 0.0000 0.0000
3.4655 6.1679 2.1383
3.4655 1.8914 5.9210
2.4754 2.1383 1.8914
6.4360 5.9210 6.1679
4.9508 4.0296 4.0296
0.0000 0.0000 0.0000
```

=====

no.,total magnetic moment (μB/atom),volume (Å³/cell)
1,0.000,94.5
2,0.000,53.1
3,0.286,106.6
4,0.000,71.3
5,0.486,215.3
6,0.000,68.3
7,0.000,104.8
8,0.000,127.3
9,0.561,42.9
10,0.000,56.6
11,0.000,116.9
12,0.000,65.9
13,0.145,257.2